# Ce4PmGd | Alexandria | PBE | relaxed
# energy of formation from the pure elements = 0.20 eV per atom
# density of states at the Fermi level = 2.9247 states/eV/atom
# crystal system = cubic
# E_tot = -6.898 eV per atom
data_Ce4PmGd
_cell_length_a 6.353
_cell_length_b 6.353
_cell_length_c 6.353
_cell_angle_alpha 60.00
_cell_angle_beta 60.00
_cell_angle_gamma 60.00
_symmetry_space_group_name_H-M 'P 1'
_symmetry_Int_Tables_number 1
loop_
_symmetry_equiv_pos_as_xyz
'x,y,z'
loop_
_atom_site_label
_atom_site_type_symbol
_atom_site_fract_x
_atom_site_fract_y
_atom_site_fract_z
_atom_site_occupancy
Ce1 Ce 0.380 0.380 0.380 1
Ce2 Ce 0.380 0.380 0.860 1
Ce3 Ce 0.380 0.860 0.380 1
Ce4 Ce 0.860 0.380 0.380 1
Pm1 Pm 0.000 0.000 0.000 1
Gd1 Gd 0.750 0.750 0.750 1

---

# Ce2PmGd | Alexandria | PBE | relaxed
# energy of formation from the pure elements = 0.12 eV per atom
# density of states at the Fermi level = 2.7704 states/eV/atom
# crystal system = tetragonal
# E_tot = -7.560 eV per atom
data_Ce2PmGd
_cell_length_a 4.925
_cell_length_b 4.925
_cell_length_c 5.131
_cell_angle_alpha 90.00
_cell_angle_beta 90.00
_cell_angle_gamma 90.00
_symmetry_space_group_name_H-M 'P 1'
_symmetry_Int_Tables_number 1
loop_
_symmetry_equiv_pos_as_xyz
'x,y,z'
loop_
_atom_site_label
_atom_site_type_symbol
_atom_site_fract_x
_atom_site_fract_y
_atom_site_fract_z
_atom_site_occupancy
Ce1 Ce 0.000 0.500 0.000 1
Ce2 Ce 0.500 0.000 0.000 1
Pm1 Pm 0.000 0.000 0.500 1
Gd1 Gd 0.500 0.500 0.500 1